Entry 1:
# LiSb2Te GGA-PBE relaxed
# - E_form (uncorrected): -0.26 eV per atom
# - Symmetry: No. 99
# - Fermi-level density of states: 1.2 states/eV/cell
# - Total moment: 0.00 μB/atom
data_LiSb2Te
_cell_length_a 4.104
_cell_length_b 4.104
_cell_length_c 6.916
_cell_angle_alpha 90.00
_cell_angle_beta 90.00
_cell_angle_gamma 90.00
_space_group_name_H-M_alt 'P 1'
_space_group_IT_number 1
_space_group_name_Hall 'P 1'
loop_
_atom_site_label
_atom_site_fract_x
_atom_site_fract_y
_atom_site_fract_z
Li1 0.000 0.000 0.000
Sb1 0.000 0.000 0.570
Sb2 0.500 0.500 0.435
Te1 0.500 0.500 0.032

***

Entry 2:
# La4CePr8 GGA-PBE relaxed
# - Symmetry: No. 166
# - Fermi-level density of states: 28.5 states/eV/cell
# - Formation energy: 0.36 eV per atom
# - Total moment: 0.08 μB/atom
data_La4CePr8
_cell_length_a 7.965
_cell_length_b 7.965
_cell_length_c 7.965
_cell_angle_alpha 97.87
_cell_angle_beta 97.87
_cell_angle_gamma 97.87
_space_group_name_H-M_alt 'P 1'
_space_group_IT_number 1
_space_group_name_Hall 'P 1'
loop_
_atom_site_label
_atom_site_fract_x
_atom_site_fract_y
_atom_site_fract_z
La1 0.000 0.000 0.000
La2 0.000 0.500 0.500
La3 0.500 0.000 0.500
La4 0.500 0.500 0.000
Ce1 0.500 0.500 0.500
Pr1 0.166 0.166 0.670
Pr2 0.166 0.670 0.166
Pr3 0.245 0.245 0.245
Pr4 0.330 0.834 0.834
Pr5 0.670 0.166 0.166
Pr6 0.755 0.755 0.755
Pr7 0.834 0.330 0.834
Pr8 0.834 0.834 0.330

***

Entry 3:
# Ba4PdSBr2 GGA-PBE relaxed
# - E_form (uncorrected): -1.46 eV per atom
# - Symmetry: No. 10
# - Fermi-level density of states: 6.1 states/eV/cell
# - Total moment: 0.00 μB/atom
data_Ba4PdSBr2
_cell_length_a 8.148
_cell_length_b 4.553
_cell_length_c 8.428
_cell_angle_alpha 90.00
_cell_angle_beta 106.30
_cell_angle_gamma 90.00
_space_group_name_H-M_alt 'P 1'
_space_group_IT_number 1
_space_group_name_Hall 'P 1'
loop_
_atom_site_label
_atom_site_fract_x
_atom_site_fract_y
_atom_site_fract_z
Ba1 0.238 0.000 0.218
Ba2 0.258 0.500 0.788
Ba3 0.742 0.500 0.212
Ba4 0.762 0.000 0.782
Pd1 0.000 0.500 0.000
S1 0.500 0.000 0.000
Br1 0.000 0.000 0.500
Br2 0.500 0.500 0.500